This record from Alexandria describes a relaxed structure of LiW2Au. The functional is PBE-GGA.

a b c (Å): 5.2713 5.2713 5.2713
angles (deg): 143.67 134.12 59.88
Last column: nearest neighbours and their distance in Å.
Sites, in units of the cell vectors:
Li  0.0000  0.0000  0.0000  4 Au 2.63, 4 W 2.79
W  0.2468  0.7468  0.5000  4 W 2.63, 2 Li 2.79, 2 Au 2.84
W  0.7532  0.2532  0.5000  4 W 2.63, 2 Li 2.79, 2 Au 2.84
Au  0.5000  0.5000  0.0000  4 Li 2.63, 4 W 2.84

Values from the calculation:
Energy above the most stable polymorph in this dataset: 111.5 meV per atom
Formation enthalpy at 0 K: 0.282 eV per atom

This record from Alexandria describes a relaxed structure of LiW2Au. The functional is PBE-GGA.

a b c (Å): 4.7694 4.7694 4.7694
angles (deg): 132.72 126.23 74.37
Last column: nearest neighbours and their distance in Å.
Sites, in units of the cell vectors:
Li  0.0000  0.0000  0.0000  2 Au 2.62, 8 W 2.72-2.88
W  0.2537  0.7537  0.5000  4 W 2.67-2.90, 4 Li 2.72-2.86, 4 Au 2.88
W  0.4991  0.4991  0.0000  4 W 2.67-2.90, 4 Au 2.78-2.80, 4 Li 2.88
Au  0.7645  0.2645  0.5000  2 Li 2.62, 8 W 2.78-2.88

Values from the calculation:
Energy above the most stable polymorph in this dataset: 278.1 meV per atom
Formation enthalpy at 0 K: 0.449 eV per atom

This record from Alexandria describes a relaxed structure of LiW2Au. The functional is PBE-GGA.

a b c (Å): 4.7075 4.7075 5.3138
angles (deg): 93.81 93.81 32.86
Last column: nearest neighbours and their distance in Å.
Sites, in units of the cell vectors:
Li  0.0000  0.0000  0.0000  3 Au 2.59-2.79, 2 Li 2.66, 1 W 2.68
W  0.5127  0.5127  0.4926  5 W 2.60-2.86, 2 Au 2.90
W  0.7575  0.7575  0.2627  5 W 2.60-2.86, 1 Li 2.68, 2 Au 2.85
Au  0.2505  0.2505  0.7886  3 Li 2.59-2.79, 2 Au 2.66, 4 W 2.85-2.90

Values from the calculation:
Energy above the most stable polymorph in this dataset: 194.1 meV per atom
Formation enthalpy at 0 K: 0.364 eV per atom

This record from Alexandria describes a relaxed structure of LiW2Au. The functional is PBE-GGA.

a b c (Å): 2.6698 2.6698 9.6255
angles (deg): 90.00 90.00 107.12
Last column: nearest neighbours and their distance in Å.
Sites, in units of the cell vectors:
Li  0.0000  0.0000  0.0000  4 Li 2.67, 4 W 2.87
W  0.5000  0.5000  0.2488  4 W 2.67, 2 Li 2.87, 2 Au 2.89
W  0.5000  0.5000  0.7512  4 W 2.67, 2 Li 2.87, 2 Au 2.89
Au  0.0000  0.0000  0.5000  4 Au 2.67, 4 W 2.89

Values from the calculation:
Energy above the most stable polymorph in this dataset: 382.5 meV per atom
Formation enthalpy at 0 K: 0.553 eV per atom

Number 1: VASP energy -29.970 eV for the cell shown. Number 2: VASP energy -29.303 eV for the cell shown. Number 3: VASP energy -29.640 eV for the cell shown. Number 4: VASP energy -28.886 eV for the cell shown.